Compound: KRbZnCdP2
Source: OQMD
Functional: PBE
Structure: relaxed

The space group is P3m1 (No. 156) and the conventional cell measures 4.2840, 4.2840 and 10.4204 Å, with angles of 90.00, 90.00 and 120.00 degrees. The inequivalent atoms are K at (0.0000, 0.0000, 0.0000), Rb at (0.0000, 0.0000, 0.4964), Zn at (0.6667, 0.3333, 0.2390), Cd at (0.3333, 0.6667, 0.7573), P at (0.3333, 0.6667, 0.2397) and P at (0.6667, 0.3333, 0.7565).

Its total energy is -0.105 Ha/atom.



Compound: K5As2Au2
Source: OQMD
Functional: PBE
Structure: relaxed

The space group is C2/m (No. 12) and the conventional cell measures 11.312, 5.303 and 11.206 Å, with angles of 90.00, 113.07 and 90.00 degrees. The inequivalent atoms are K at (0.000, 0.000, 0.000), K at (0.111, 0.000, 0.415), K at (0.249, 0.000, 0.817), As at (0.090, 0.500, 0.613) and Au at (0.059, 0.500, 0.831).

The calculation puts the energy relative to the lowest polymorph listed for this composition at 44 meV per atom. Its total energy is -0.099 Ha/atom.



Compound: BaSnAu2
Source: OQMD
Functional: PBE
Structure: relaxed

The space group is F-43m (No. 216) and the conventional cell measures 7.483, 7.483 and 7.483 Å, with angles of 90.00, 90.00 and 90.00 degrees. The inequivalent atoms are Ba at (0.000, 0.000, 0.000), Sn at (0.250, 0.250, 0.750), Au at (0.000, 0.000, 0.500) and Au at (0.250, 0.250, 0.250).

Its total energy is -0.123 Ha/atom.



Repeat the first record exactly.
Compound: KRbZnCdP2
Source: OQMD
Functional: PBE
Structure: relaxed

The space group is P3m1 (No. 156) and the conventional cell measures 4.2840, 4.2840 and 10.4204 Å, with angles of 90.00, 90.00 and 120.00 degrees. The inequivalent atoms are K at (0.0000, 0.0000, 0.0000), Rb at (0.0000, 0.0000, 0.4964), Zn at (0.6667, 0.3333, 0.2390), Cd at (0.3333, 0.6667, 0.7573), P at (0.3333, 0.6667, 0.2397) and P at (0.6667, 0.3333, 0.7565).

Its total energy is -0.105 Ha/atom.



Repeat the second record exactly.
Compound: K5As2Au2
Source: OQMD
Functional: PBE
Structure: relaxed

The space group is C2/m (No. 12) and the conventional cell measures 11.312, 5.303 and 11.206 Å, with angles of 90.00, 113.07 and 90.00 degrees. The inequivalent atoms are K at (0.000, 0.000, 0.000), K at (0.111, 0.000, 0.415), K at (0.249, 0.000, 0.817), As at (0.090, 0.500, 0.613) and Au at (0.059, 0.500, 0.831).

The calculation puts the energy relative to the lowest polymorph listed for this composition at 44 meV per atom. Its total energy is -0.099 Ha/atom.